Record 1
# CoAgRh2

CoAgRh2 after structural relaxation (GGA-PBEsol, the Alexandria database).

Lattice parameters (Å, degrees): 4.2762 4.2762 4.2762 60.00 60.00 60.00
With the nearest neighbours (Å) after each atom.
Atoms (fractional coordinates):
Co  0.0000  0.0000  0.0000  4 Rh 2.62, 4 Ag 2.62
Ag  0.2500  0.2500  0.2500  4 Co 2.62, 4 Rh 2.62
Rh  0.5000  0.5000  0.5000  4 Rh 2.62, 4 Ag 2.62
Rh  0.7500  0.7500  0.7500  4 Co 2.62, 4 Rh 2.62

Values from the calculation:
Energy relative to the elements, eV per atom: 0.459
Total magnetic moment, μB per formula unit: 3.5
Energy above the most stable polymorph in this dataset, meV/atom: 310
SG: No. 216
DOS at the Fermi energy, states/eV/f.u.: 7.40
Calculated volume, Å³/atom: 13.82


Record 2
# Co4AgRh

Co4AgRh after structural relaxation (GGA-PBEsol, the Alexandria database).

Lattice parameters (Å, degrees): 4.6775 4.6775 4.6775 60.00 60.00 60.00
With the nearest neighbours (Å) after each atom.
Atoms (fractional coordinates):
Co  0.1250  0.1250  0.1250  6 Co 2.34
Co  0.1250  0.1250  0.6250  6 Co 2.34
Co  0.1250  0.6250  0.1250  6 Co 2.34
Co  0.6250  0.1250  0.1250  6 Co 2.34
Ag  0.5000  0.5000  0.5000  12 Co 2.74, 4 Rh 2.86
Rh  0.7500  0.7500  0.7500  12 Co 2.74, 4 Ag 2.86

Values from the calculation:
Energy relative to the elements, eV per atom: 0.211
Total magnetic moment, μB per formula unit: 7.8
SG: No. 216
DOS at the Fermi energy, states/eV/f.u.: 6.25
Calculated volume, Å³/atom: 12.06


Record 3
# CoAgRh2

CoAgRh2 after structural relaxation (GGA-PBEsol, the Alexandria database).

Lattice parameters (Å, degrees): 8.9015 8.9015 8.9015 17.29 17.29 17.29
With the nearest neighbours (Å) after each atom.
Atoms (fractional coordinates):
Co  0.0000  0.0000  0.0000  6 Rh 2.53, 6 Co 2.68
Ag  0.5000  0.5000  0.5000  6 Ag 2.68, 6 Rh 2.84
Rh  0.2571  0.2571  0.2571  3 Co 2.53, 6 Rh 2.68
Rh  0.7429  0.7429  0.7429  3 Co 2.53, 6 Rh 2.68

Values from the calculation:
Energy relative to the elements, eV per atom: 0.149
Total magnetic moment, μB per formula unit: 2.9
Energy above the most stable polymorph in this dataset, meV/atom: 0
SG: No. 166
DOS at the Fermi energy, states/eV/f.u.: 4.37
Calculated volume, Å³/atom: 13.58


Record 4
# Co2TcAgRh

Co2TcAgRh after structural relaxation (GGA-PBEsol, the Alexandria database).

Lattice parameters (Å, degrees): 4.3731 4.3731 4.8165 90.00 90.00 90.00
With the nearest neighbours (Å) after each atom.
Atoms (fractional coordinates):
Co  0.0000  0.5000  0.0000  2 Rh 2.19
Co  0.5000  0.0000  0.0000  2 Rh 2.19
Tc  0.0000  0.0000  0.5000  4 Ag 3.09, 8 Co 3.25
Ag  0.5000  0.5000  0.5000  2 Rh 2.41
Rh  0.5000  0.5000  0.0000  4 Co 2.19, 2 Ag 2.41

Values from the calculation:
Energy relative to the elements, eV per atom: 1.860
Total magnetic moment, μB per formula unit: 8.3
SG: No. 123
DOS at the Fermi energy, states/eV/f.u.: 5.63
Calculated volume, Å³/atom: 18.42


Record 5
# Co2AgRu

Co2AgRu after structural relaxation (GGA-PBEsol, the Alexandria database).

Lattice parameters (Å, degrees): 8.6958 8.6958 8.6958 17.36 17.36 17.36
With the nearest neighbours (Å) after each atom.
Atoms (fractional coordinates):
Co  0.0000  0.0000  0.0000  9 Co 2.41-2.62, 3 Ru 2.51
Co  0.2605  0.2605  0.2605  9 Co 2.41-2.62
Ag  0.5058  0.5058  0.5058  6 Ag 2.62, 3 Co 2.72, 3 Ru 2.87
Ru  0.7444  0.7444  0.7444  3 Co 2.51, 6 Ru 2.62

Values from the calculation:
Energy relative to the elements, eV per atom: 0.330
Total magnetic moment, μB per formula unit: 3.0
Energy above the most stable polymorph in this dataset, meV/atom: 0
SG: No. 160
DOS at the Fermi energy, states/eV/f.u.: 4.68
Calculated volume, Å³/atom: 12.77


Record 6
# Co3AgRu

Co3AgRu after structural relaxation (GGA-PBEsol, the Alexandria database).

Lattice parameters (Å, degrees): 4.3182 4.3182 4.3182 90.00 90.00 90.00
With the nearest neighbours (Å) after each atom.
Atoms (fractional coordinates):
Co  0.0000  0.0000  0.5000  2 Ru 2.16
Co  0.0000  0.5000  0.0000  2 Ru 2.16
Co  0.5000  0.0000  0.0000  2 Ru 2.16
Ag  0.5000  0.5000  0.5000  12 Co 3.05
Ru  0.0000  0.0000  0.0000  6 Co 2.16

Values from the calculation:
Energy relative to the elements, eV per atom: 1.552
Total magnetic moment, μB per formula unit: 2.1
SG: No. 221
DOS at the Fermi energy, states/eV/f.u.: 8.43
Calculated volume, Å³/atom: 16.10


Record 7
# Co2AgRu

Co2AgRu after structural relaxation (GGA-PBEsol, the Alexandria database).

Lattice parameters (Å, degrees): 3.9464 3.9464 3.2874 90.00 90.00 90.00
With the nearest neighbours (Å) after each atom.
Atoms (fractional coordinates):
Co  0.0000  0.5000  0.0000  4 Ru 2.57, 4 Ag 2.57, 4 Co 2.79
Co  0.5000  0.0000  0.0000  4 Ru 2.57, 4 Ag 2.57, 4 Co 2.79
Ag  0.0000  0.0000  0.5000  8 Co 2.57, 4 Ru 2.79
Ru  0.5000  0.5000  0.5000  8 Co 2.57, 4 Ag 2.79

Values from the calculation:
Energy relative to the elements, eV per atom: 0.485
Total magnetic moment, μB per formula unit: 4.9
Energy above the most stable polymorph in this dataset, meV/atom: 154
SG: No. 123
DOS at the Fermi energy, states/eV/f.u.: 3.31
Calculated volume, Å³/atom: 12.80


Record 8
# CoAgRu2S

CoAgRu2S after structural relaxation (GGA-PBEsol, the Alexandria database).

Lattice parameters (Å, degrees): 4.7683 4.7683 4.4839 90.00 90.00 90.00
With the nearest neighbours (Å) after each atom.
Atoms (fractional coordinates):
Co  0.0000  0.0000  0.0000  2 Ag 2.24
Ag  0.0000  0.0000  0.5000  2 Co 2.24, 4 Ru 2.38
Ru  0.0000  0.5000  0.5000  2 Ag 2.38
Ru  0.5000  0.0000  0.5000  2 Ag 2.38
S  0.5000  0.5000  0.0000  8 Ru 3.27, 4 Co 3.37

Values from the calculation:
Total magnetic moment, μB per formula unit: 6.9
SG: No. 123
Uncorrected formation energy, meV/atom: 2381
DOS at the Fermi energy, states/eV/f.u.: 8.14
Calculated volume, Å³/atom: 20.39


Record 9
# CoAgSb2

CoAgSb2 after structural relaxation (GGA-PBEsol, the Alexandria database).

Lattice parameters (Å, degrees): 3.1058 3.1058 7.7393 90.00 90.00 90.00
With the nearest neighbours (Å) after each atom.
Atoms (fractional coordinates):
Co  0.0000  0.0000  0.0000  8 Sb 2.72
Ag  0.0000  0.0000  0.5000  4 Ag 3.11, 8 Sb 3.16
Sb  0.5000  0.5000  0.2069  4 Co 2.72
Sb  0.5000  0.5000  0.7931  4 Co 2.72

Values from the calculation:
Total magnetic moment, μB per formula unit: 0.0
Energy above the most stable polymorph in this dataset, meV/atom: 57
SG: No. 123
Uncorrected formation energy, meV/atom: 154
DOS at the Fermi energy, states/eV/f.u.: 2.02
Calculated volume, Å³/atom: 18.66


Record 10
# CoAgSb2

CoAgSb2 after structural relaxation (GGA-PBEsol, the Alexandria database).

Lattice parameters (Å, degrees): 4.9527 4.9527 6.1724 110.11 110.11 36.21
With the nearest neighbours (Å) after each atom.
Atoms (fractional coordinates):
Co  0.0000  0.0000  0.0000  4 Sb 2.48, 3 Ag 2.56-2.64
Ag  0.7284  0.7284  0.0028  3 Co 2.56-2.64
Sb  0.3780  0.3780  0.6686  2 Co 2.48
Sb  0.5542  0.5542  0.3360  2 Co 2.48

Values from the calculation:
Total magnetic moment, μB per formula unit: 0.0
Energy above the most stable polymorph in this dataset, meV/atom: 112
SG: No. 8
Uncorrected formation energy, meV/atom: 210
DOS at the Fermi energy, states/eV/f.u.: 3.25
Calculated volume, Å³/atom: 20.85


Record 11
# CoAgSb3

CoAgSb3 after structural relaxation (GGA-PBEsol, the Alexandria database).

Lattice parameters (Å, degrees): 4.8688 4.8688 4.8688 90.00 90.00 90.00
With the nearest neighbours (Å) after each atom.
Atoms (fractional coordinates):
Co  0.0000  0.0000  0.0000  6 Sb 2.43
Ag  0.5000  0.5000  0.5000  12 Sb 3.44
Sb  0.0000  0.0000  0.5000  2 Co 2.43
Sb  0.0000  0.5000  0.0000  2 Co 2.43
Sb  0.5000  0.0000  0.0000  2 Co 2.43

Values from the calculation:
Total magnetic moment, μB per formula unit: 0.0
SG: No. 221
Uncorrected formation energy, meV/atom: 408
DOS at the Fermi energy, states/eV/f.u.: 3.94
Calculated volume, Å³/atom: 23.08


Record 12
# CoAgSb2

CoAgSb2 after structural relaxation (GGA-PBEsol, the Alexandria database).

Lattice parameters (Å, degrees): 3.1125 6.6279 6.6279 34.61 90.00 90.00
With the nearest neighbours (Å) after each atom.
Atoms (fractional coordinates):
Co  0.0000  0.0000  0.0000  5 Sb 2.48-2.52
Ag  0.5000  0.1868  0.1868  2 Co 2.83, 6 Sb 2.92, 2 Ag 3.11
Sb  0.0000  0.8044  0.8044  1 Co 2.48
Sb  0.5000  0.5168  0.5168  4 Co 2.52

Values from the calculation:
Total magnetic moment, μB per formula unit: 0.0
Energy above the most stable polymorph in this dataset, meV/atom: 0
SG: No. 38
Uncorrected formation energy, meV/atom: 97
DOS at the Fermi energy, states/eV/f.u.: 2.55
Calculated volume, Å³/atom: 19.42


Record 13
# CoAgSb2

CoAgSb2 after structural relaxation (GGA-PBEsol, the Alexandria database).

Lattice parameters (Å, degrees): 4.7920 4.7920 4.7920 60.00 60.00 60.00
With the nearest neighbours (Å) after each atom.
Atoms (fractional coordinates):
Co  0.0000  0.0000  0.0000  4 Sb 2.93, 4 Ag 2.93
Ag  0.2500  0.2500  0.2500  4 Sb 2.93, 4 Co 2.93
Sb  0.5000  0.5000  0.5000  4 Sb 2.93, 4 Ag 2.93
Sb  0.7500  0.7500  0.7500  4 Co 2.93, 4 Sb 2.93

Values from the calculation:
Total magnetic moment, μB per formula unit: 0.8
Energy above the most stable polymorph in this dataset, meV/atom: 507
SG: No. 216
Uncorrected formation energy, meV/atom: 605
DOS at the Fermi energy, states/eV/f.u.: 4.28
Calculated volume, Å³/atom: 19.45


Record 14
# SrCo2AgSb

SrCo2AgSb after structural relaxation (GGA-PBEsol, the Alexandria database).

Lattice parameters (Å, degrees): 4.7209 4.7209 6.0794 90.00 90.00 90.00
With the nearest neighbours (Å) after each atom.
Atoms (fractional coordinates):
Sr  0.0000  0.0000  0.0000  2 Sb 3.04, 4 Ag 3.34
Co  0.0000  0.5000  0.5000  2 Sb 2.36
Co  0.5000  0.0000  0.5000  2 Sb 2.36
Ag  0.5000  0.5000  0.0000  4 Sr 3.34
Sb  0.0000  0.0000  0.5000  4 Co 2.36

Values from the calculation:
Total magnetic moment, μB per formula unit: 3.7
SG: No. 123
Uncorrected formation energy, meV/atom: 855
DOS at the Fermi energy, states/eV/f.u.: 2.48
Calculated volume, Å³/atom: 27.10


Record 15
# YCoAg2Sb

YCoAg2Sb after structural relaxation (GGA-PBEsol, the Alexandria database).

Lattice parameters (Å, degrees): 4.7871 4.7871 4.6262 90.00 90.00 90.00
With the nearest neighbours (Å) after each atom.
Atoms (fractional coordinates):
Y  0.0000  0.0000  0.0000  8 Ag 3.33, 4 Sb 3.38
Co  0.5000  0.5000  0.5000  2 Sb 2.31, 4 Ag 2.39
Ag  0.0000  0.5000  0.5000  2 Co 2.39
Ag  0.5000  0.0000  0.5000  2 Co 2.39
Sb  0.5000  0.5000  0.0000  2 Co 2.31

Values from the calculation:
Total magnetic moment, μB per formula unit: 0.9
SG: No. 123
Uncorrected formation energy, meV/atom: 77
DOS at the Fermi energy, states/eV/f.u.: 3.74
Calculated volume, Å³/atom: 21.20


Record 16
# Sc2CoAg

Sc2CoAg after structural relaxation (GGA-PBEsol, the Alexandria database).

Lattice parameters (Å, degrees): 3.1063 3.1063 7.0186 90.00 90.00 90.00
With the nearest neighbours (Å) after each atom.
Atoms (fractional coordinates):
Sc  0.0000  0.0000  0.2161  4 Co 2.67, 4 Ag 2.97
Sc  0.0000  0.0000  0.7839  4 Co 2.67, 4 Ag 2.97
Co  0.5000  0.5000  0.0000  8 Sc 2.67
Ag  0.5000  0.5000  0.5000  8 Sc 2.97, 4 Ag 3.11

Values from the calculation:
Energy relative to the elements, eV per atom: -0.339
Total magnetic moment, μB per formula unit: 0.4
SG: No. 123
DOS at the Fermi energy, states/eV/f.u.: 3.14
Calculated volume, Å³/atom: 16.93


Record 17
# Sc2CoAg

Sc2CoAg after structural relaxation (GGA-PBEsol, the Alexandria database).

Lattice parameters (Å, degrees): 9.1811 9.1811 9.1811 19.37 19.37 19.37
With the nearest neighbours (Å) after each atom.
Atoms (fractional coordinates):
Sc  0.1024  0.1024  0.1024  3 Co 2.49, 1 Ag 2.77
Sc  0.8976  0.8976  0.8976  3 Co 2.49, 1 Ag 2.77
Co  0.5000  0.5000  0.5000  6 Sc 2.49
Ag  0.0000  0.0000  0.0000  2 Sc 2.77, 6 Ag 3.09

Values from the calculation:
Energy relative to the elements, eV per atom: 0.147
Total magnetic moment, μB per formula unit: 0.0
SG: No. 166
DOS at the Fermi energy, states/eV/f.u.: 2.98
Calculated volume, Å³/atom: 18.61


Record 18
# ScCo2Ag

ScCo2Ag after structural relaxation (GGA-PBEsol, the Alexandria database).

Lattice parameters (Å, degrees): 2.9692 2.9692 6.5462 90.00 90.00 90.00
With the nearest neighbours (Å) after each atom.
Atoms (fractional coordinates):
Sc  0.0000  0.0000  0.0000  5 Co 2.71-2.79, 4 Ag 2.95, 4 Sc 2.97
Co  0.0000  0.0000  0.5739  4 Co 2.36
Co  0.5000  0.5000  0.7394  4 Co 2.36
Ag  0.5000  0.5000  0.3159  5 Co 2.69-2.77, 4 Sc 2.95, 4 Ag 2.97

Values from the calculation:
Energy relative to the elements, eV per atom: 0.025
Total magnetic moment, μB per formula unit: 2.9
SG: No. 99
DOS at the Fermi energy, states/eV/f.u.: 3.84
Calculated volume, Å³/atom: 14.43


Record 19
# ScCo2Ag

ScCo2Ag after structural relaxation (GGA-PBEsol, the Alexandria database).

Lattice parameters (Å, degrees): 4.3230 4.3230 4.3230 60.00 60.00 60.00
With the nearest neighbours (Å) after each atom.
Atoms (fractional coordinates):
Sc  0.0000  0.0000  0.0000  4 Co 2.65, 4 Ag 2.65
Co  0.5000  0.5000  0.5000  4 Co 2.65, 4 Ag 2.65
Co  0.7500  0.7500  0.7500  4 Sc 2.65, 4 Co 2.65
Ag  0.2500  0.2500  0.2500  4 Co 2.65, 4 Sc 2.65

Values from the calculation:
Energy relative to the elements, eV per atom: 0.127
Total magnetic moment, μB per formula unit: 2.6
SG: No. 216
DOS at the Fermi energy, states/eV/f.u.: 4.71
Calculated volume, Å³/atom: 14.28


Record 20
# CoAg4Se

CoAg4Se after structural relaxation (GGA-PBEsol, the Alexandria database).

Lattice parameters (Å, degrees): 5.3178 5.3178 5.3178 60.00 60.00 60.00
With the nearest neighbours (Å) after each atom.
Atoms (fractional coordinates):
Co  0.0000  0.0000  0.0000  12 Ag 3.12, 4 Se 3.26
Ag  0.1236  0.6255  0.6255  6 Ag 2.65-2.67
Ag  0.6255  0.1236  0.6255  6 Ag 2.65-2.67
Ag  0.6255  0.6255  0.1236  6 Ag 2.65-2.67
Ag  0.6255  0.6255  0.6255  6 Ag 2.65-2.67
Se  0.2500  0.2500  0.2500  12 Ag 3.12, 4 Co 3.26

Values from the calculation:
Total magnetic moment, μB per formula unit: 2.0
SG: No. 216
Uncorrected formation energy, meV/atom: 566
DOS at the Fermi energy, states/eV/f.u.: 8.15
Calculated volume, Å³/atom: 17.72


Number 1: uncorrected energy -6.372 eV/atom. Number 2: uncorrected energy -6.856 eV/atom. Number 3: uncorrected energy -6.682 eV/atom. Number 4: uncorrected energy -5.778 eV/atom. Number 5: uncorrected energy -6.909 eV/atom. Number 6: uncorrected energy -5.787 eV/atom. Number 7: uncorrected energy -6.754 eV/atom. Number 8: uncorrected energy -4.775 eV/atom. Number 9: uncorrected energy -4.887 eV/atom. Number 10: uncorrected energy -4.831 eV/atom. Number 11: uncorrected energy -4.536 eV/atom. Number 12: uncorrected energy -4.943 eV/atom. Number 13: uncorrected energy -4.436 eV/atom. Number 14: uncorrected energy -4.182 eV/atom. Number 15: uncorrected energy -5.070 eV/atom. Number 16: uncorrected energy -6.403 eV/atom. Number 17: uncorrected energy -5.918 eV/atom. Number 18: uncorrected energy -6.322 eV/atom. Number 19: uncorrected energy -6.221 eV/atom. Number 20: uncorrected energy -3.572 eV/atom.